1.
PrGdPu2 | PBE | relaxed

## Properties
Its density of states at the Fermi level is 4.174 states/eV/atom. The theoretical density is 10.88 Mg/m³. Its formation enthalpy at 0 K is 0.9 eV/f.u. The calculation puts the excess energy over the best structure of this formula in the dataset at 0.0 meV/atom. As for the final energy: -46.67 eV/cell.

Geometry as CIF:
```
data_PrGdPu2
_chemical_formula_sum 'Pr1 Gd1 Pu2'
_space_group_name_H-M_alt 'P 4/m m m'
_space_group_IT_number 123
_space_group_name_Hall '-P 4 2'
_cell_length_a 4.858
_cell_length_b 4.858
_cell_length_c 5.082
_cell_angle_alpha 90.00
_cell_angle_beta 90.00
_cell_angle_gamma 90.00
loop_
_atom_site_label
_atom_site_type_symbol
_atom_site_fract_x
_atom_site_fract_y
_atom_site_fract_z
_atom_site_occupancy
Pr1 Pr 0.000 0.000 0.000 1
Gd1 Gd 0.500 0.500 0.000 1
Pu1 Pu 0.000 0.500 0.500 1
```


2.
YHo2Tl2Cd2 | PBE | relaxed

## Properties
Its density of states at the Fermi level is 0.685 states/eV/atom. The theoretical density is 9.28 Mg/m³. Its formation enthalpy at 0 K is -0.9 eV/f.u. As for the final energy: -69.27 eV/cell.

Geometry as CIF:
```
data_YHo2Tl2Cd2
_chemical_formula_sum 'Y3 Ho6 Tl6 Cd6'
_space_group_name_H-M_alt 'R -3 m'
_space_group_IT_number 166
_space_group_name_Hall '-R 3 2"'
_cell_length_a 5.0067
_cell_length_b 5.0067
_cell_length_c 26.0241
_cell_angle_alpha 90.00
_cell_angle_beta 90.00
_cell_angle_gamma 120.00
loop_
_atom_site_label
_atom_site_type_symbol
_atom_site_fract_x
_atom_site_fract_y
_atom_site_fract_z
_atom_site_occupancy
Y1 Y 0.0000 0.0000 0.0000 1
Ho1 Ho 0.0000 0.0000 0.1333 1
Tl1 Tl 0.0000 0.0000 0.2699 1
Cd1 Cd 0.0000 0.0000 0.4293 1
```


3.
In2MoP | PBE | relaxed

## Properties
Its density of states at the Fermi level is 0.749 states/eV/atom. The theoretical density is 7.70 Mg/m³. Its formation enthalpy at 0 K is 2.2 eV/f.u. As for the final energy: -39.13 eV/cell.

Geometry as CIF:
```
data_In2MoP
_chemical_formula_sum 'In4 Mo2 P2'
_space_group_name_H-M_alt 'C m m m'
_space_group_IT_number 65
_space_group_name_Hall '-C 2 2'
_cell_length_a 3.715
_cell_length_b 4.726
_cell_length_c 8.755
_cell_angle_alpha 90.00
_cell_angle_beta 90.00
_cell_angle_gamma 90.00
loop_
_atom_site_label
_atom_site_type_symbol
_atom_site_fract_x
_atom_site_fract_y
_atom_site_fract_z
_atom_site_occupancy
In1 In 0.000 0.000 0.247 1
Mo1 Mo 0.000 0.500 0.000 1
P1 P 0.000 0.500 0.500 1
```


4.
Li3B4C4 | PBE | relaxed

## Properties
Its density of states at the Fermi level is 0.173 states/eV/atom. The theoretical density is 2.03 Mg/m³. Its formation enthalpy at 0 K is -2.5 eV/f.u. The calculation puts the excess energy over the best structure of this formula in the dataset at 18.0 meV/atom. As for the final energy: -143.60 eV/cell.

Geometry as CIF:
```
data_Li3B4C4
_chemical_formula_sum 'Li6 B8 C8'
_space_group_name_H-M_alt 'P m n 21'
_space_group_IT_number 31
_cell_length_a 2.729
_cell_length_b 14.267
_cell_length_c 4.723
_cell_angle_alpha 90.00
_cell_angle_beta 90.00
_cell_angle_gamma 90.00
loop_
_space_group_symop_operation_xyz
'x,y,z'
'-x+1/2,-y,z+1/2'
'-x,y,z'
'x+1/2,-y,z+1/2'
loop_
_atom_site_label
_atom_site_type_symbol
_atom_site_fract_x
_atom_site_fract_y
_atom_site_fract_z
_atom_site_occupancy
Li1 Li 0.000 0.126 0.000 1
Li2 Li 0.000 0.373 0.010 1
Li3 Li 0.000 0.873 0.001 1
B1 B 0.000 0.000 0.333 1
B2 B 0.000 0.251 0.665 1
B3 B 0.000 0.496 0.362 1
B4 B 0.000 0.753 0.670 1
C1 C 0.000 0.000 0.665 1
C2 C 0.000 0.245 0.335 1
C3 C 0.000 0.504 0.691 1
C4 C 0.000 0.752 0.335 1
```


5.
Li3DyNp3S8 | PBE | relaxed

## Properties
Its density of states at the Fermi level is 1.941 states/eV/atom. The theoretical density is 5.78 Mg/m³. As for the final energy: -312.48 eV/cell.

Geometry as CIF:
```
data_Li3DyNp3S8
_chemical_formula_sum 'Li9 Dy3 Np9 S24'
_space_group_name_H-M_alt 'R -3 m'
_space_group_IT_number 166
_space_group_name_Hall '-R 3 2"'
_cell_length_a 7.9031
_cell_length_b 7.9031
_cell_length_c 18.3359
_cell_angle_alpha 90.00
_cell_angle_beta 90.00
_cell_angle_gamma 120.00
loop_
_atom_site_label
_atom_site_type_symbol
_atom_site_fract_x
_atom_site_fract_y
_atom_site_fract_z
_atom_site_occupancy
Li1 Li 0.0000 0.5000 0.0000 1
Dy1 Dy 0.0000 0.0000 0.5000 1
Np1 Np 0.0000 0.5000 0.5000 1
S1 S 0.0000 0.0000 0.2495 1
S2 S 0.0007 0.5004 0.2482 1
```


6.
Ag3HgPd4 | PBE | relaxed

## Properties
Its density of states at the Fermi level is 0.455 states/eV/atom. The theoretical density is 11.18 Mg/m³. Its formation enthalpy at 0 K is 0.6 eV/f.u. The calculation puts the excess energy over the best structure of this formula in the dataset at 156.2 meV/atom. As for the final energy: -58.00 eV/cell.

Geometry as CIF:
```
data_Ag3HgPd4
_chemical_formula_sum 'Ag6 Hg2 Pd8'
_space_group_name_H-M_alt 'I m m 2'
_space_group_IT_number 44
_cell_length_a 5.526
_cell_length_b 9.419
_cell_length_c 5.422
_cell_angle_alpha 90.00
_cell_angle_beta 90.00
_cell_angle_gamma 90.00
loop_
_space_group_symop_operation_xyz
'x,y,z'
'-x,-y,z'
'-x,y,z'
'x,-y,z'
'x+1/2,y+1/2,z+1/2'
'-x+1/2,-y+1/2,z+1/2'
'-x+1/2,y+1/2,z+1/2'
'x+1/2,-y+1/2,z+1/2'
loop_
_atom_site_label
_atom_site_type_symbol
_atom_site_fract_x
_atom_site_fract_y
_atom_site_fract_z
_atom_site_occupancy
Ag1 Ag 0.000 0.000 0.000 1
Ag2 Ag 0.000 0.251 0.247 1
Hg1 Hg 0.000 0.500 0.521 1
Pd1 Pd 0.000 0.245 0.746 1
Pd2 Pd 0.249 0.000 0.506 1
```